[1]
Nd3Rh2 (GGA-PBE, relaxed); SG = No. 12; D(E_F) = 3.17 states/eV/f.u.; M_tot = 0.000 μB/atom; formation energy from the elements = -559 meV/atom; relative energy among the computed polymorphs = 0.062 eV per atom; total energy = -6.36 eV/atom
1.0
8.9929 -2.1599 0.0000
8.9929 2.1599 0.0000
-1.4328 0.0000 10.7210
Nd Rh
9 6
direct
0.0000 0.0000 0.0000
0.0373 0.0373 0.6600
0.2921 0.2921 0.3804
0.3269 0.3269 0.0450
0.3757 0.3757 0.7205
0.6243 0.6243 0.2795
0.6731 0.6731 0.9550
0.7079 0.7079 0.6196
0.9627 0.9627 0.3400
0.1392 0.1392 0.4673
0.1788 0.1788 0.1338
0.4714 0.4714 0.1743
0.5286 0.5286 0.8257
0.8212 0.8212 0.8662
0.8608 0.8608 0.5327



[2]
SrGeAs3 (GGA-PBE, relaxed); SG = No. 221; D(E_F) = 4.99 states/eV/f.u.; M_tot = 0.000 μB/atom; formation energy from the elements = 14 meV/atom; relative energy among the computed polymorphs = 0.000 eV per atom; total energy = -4.04 eV/atom
1.0
5.0607 0.0000 0.0000
0.0000 5.0607 0.0000
0.0000 0.0000 5.0607
Sr Ge As
1 1 3
direct
0.0000 0.0000 0.0000
0.5000 0.5000 0.5000
0.0000 0.5000 0.5000
0.5000 0.0000 0.5000
0.5000 0.5000 0.0000



[3]
BaBeRu2 (GGA-PBE, relaxed); SG = No. 123; D(E_F) = 3.86 states/eV/f.u.; M_tot = 0.536 μB/atom; formation energy from the elements = 1121 meV/atom; total energy = -4.93 eV/atom
1.0
4.2878 0.0000 0.0000
0.0000 4.2878 0.0000
0.0000 0.0000 3.9678
Ba Be Ru
1 1 2
direct
0.0000 0.0000 0.0000
0.5000 0.5000 0.0000
0.0000 0.5000 0.5000
0.5000 0.0000 0.5000



[4]
IrRh2 (GGA-PBE, relaxed); SG = No. 191; D(E_F) = 5.38 states/eV/f.u.; M_tot = 0.000 μB/atom; formation energy from the elements = 247 meV/atom; relative energy among the computed polymorphs = 0.261 eV per atom; total energy = -7.61 eV/atom
1.0
4.3414 0.0000 0.0000
-2.1707 3.7598 0.0000
0.0000 0.0000 2.6819
Ir Rh
1 2
direct
0.0000 0.0000 0.0000
0.3333 0.6667 0.5000
0.6667 0.3333 0.5000